w.
VASP calculation (GGA-PBE) on a geometry-optimized PmHoTmAg structure.

Summary:
Density (kg/m³): 8661

abc: 3.5759 3.5759 8.7980
angles: 90.00 90.00 90.00
Positions (direct):
Pm 0.0000 0.0000 0.0000
Ho 0.5000 0.5000 0.7072
Tm 0.5000 0.5000 0.2902
Ag 0.0000 0.0000 0.4937


x.
VASP calculation (GGA-PBE) on a geometry-optimized PmHoTmAg structure.

Summary:
Density (kg/m³): 8862

abc: 5.3772 5.3772 5.3772
angles: 60.00 60.00 60.00
Positions (direct):
Pm 0.0000 0.0000 0.0000
Ho 0.2500 0.2500 0.2500
Tm 0.7500 0.7500 0.7500
Ag 0.5000 0.5000 0.5000


Most stable: w


w.
VASP calculation (GGA-PBE) on a geometry-optimized PmHoZnAg structure.

Summary:
Density (kg/m³): 8329

abc: 3.6309 3.6309 7.3075
angles: 90.00 90.00 90.00
Positions (direct):
Pm 0.0000 0.0000 0.0000
Ho 0.0000 0.0000 0.5160
Zn 0.5000 0.5000 0.7465
Ag 0.5000 0.5000 0.2773


x.
VASP calculation (GGA-PBE) on a geometry-optimized PmHoZnAg structure.

Summary:
Density (kg/m³): 8280

abc: 5.1557 5.1557 5.1557
angles: 60.00 60.00 60.00
Positions (direct):
Pm 0.0000 0.0000 0.0000
Ho 0.5000 0.5000 0.5000
Zn 0.2500 0.2500 0.2500
Ag 0.7500 0.7500 0.7500


Most stable: w


w.
VASP calculation (GGA-PBE) on a geometry-optimized PrHoScAg structure.

Summary:
Density (kg/m³): 7065

abc: 5.3421 5.3421 5.3421
angles: 60.00 60.00 60.00
Positions (direct):
Pr 0.0000 0.0000 0.0000
Ho 0.5000 0.5000 0.5000
Sc 0.2500 0.2500 0.2500
Ag 0.7500 0.7500 0.7500


x.
VASP calculation (GGA-PBE) on a geometry-optimized PrHoScAg structure.

Summary:
Density (kg/m³): 7083

abc: 3.5759 3.5759 8.4089
angles: 90.00 90.00 90.00
Positions (direct):
Pr 0.0000 0.0000 0.0000
Ho 0.5000 0.5000 0.6905
Sc 0.5000 0.5000 0.2838
Ag 0.0000 0.0000 0.4685


Most stable: x


w.
VASP calculation (GGA-PBE) on a geometry-optimized PrHoTlAg structure.

Summary:
Density (kg/m³): 9416

abc: 5.3619 5.3619 5.3619
angles: 60.00 60.00 60.00
Positions (direct):
Pr 0.0000 0.0000 0.0000
Ho 0.5000 0.5000 0.5000
Tl 0.7500 0.7500 0.7500
Ag 0.2500 0.2500 0.2500


x.
VASP calculation (GGA-PBE) on a geometry-optimized PrHoTlAg structure.

Summary:
Density (kg/m³): 9490

abc: 3.6983 3.6983 7.9076
angles: 90.00 90.00 90.00
Positions (direct):
Pr 0.0000 0.0000 0.0000
Ho 0.0000 0.0000 0.5297
Tl 0.5000 0.5000 0.2759
Ag 0.5000 0.5000 0.7345


Most stable: x


w.
VASP calculation (GGA-PBE) on a geometry-optimized PrHoTmAg structure.

Summary:
Density (kg/m³): 8523

abc: 3.6361 3.6361 8.5862
angles: 90.00 90.00 90.00
Positions (direct):
Pr 0.0000 0.0000 0.0000
Ho 0.5000 0.5000 0.7042
Tm 0.5000 0.5000 0.2935
Ag 0.0000 0.0000 0.4943


x.
VASP calculation (GGA-PBE) on a geometry-optimized PrHoTmAg structure.

Summary:
Density (kg/m³): 8583

abc: 5.4222 5.4222 5.4222
angles: 60.00 60.00 60.00
Positions (direct):
Pr 0.0000 0.0000 0.0000
Ho 0.5000 0.5000 0.5000
Tm 0.7500 0.7500 0.7500
Ag 0.2500 0.2500 0.2500


Most stable: w


w.
VASP calculation (GGA-PBE) on a geometry-optimized PrHoZnAg structure.

Summary:
Density (kg/m³): 8080

abc: 3.6526 3.6526 7.3803
angles: 90.00 90.00 90.00
Positions (direct):
Pr 0.0000 0.0000 0.0000
Ho 0.0000 0.0000 0.5160
Zn 0.5000 0.5000 0.7404
Ag 0.5000 0.5000 0.2858


x.
VASP calculation (GGA-PBE) on a geometry-optimized PrHoZnAg structure.

Summary:
Density (kg/m³): 8012

abc: 5.1979 5.1979 5.1979
angles: 60.00 60.00 60.00
Positions (direct):
Pr 0.0000 0.0000 0.0000
Ho 0.5000 0.5000 0.5000
Zn 0.7500 0.7500 0.7500
Ag 0.2500 0.2500 0.2500


Most stable: w


w.
VASP calculation (GGA-PBE) on a geometry-optimized Ho2AgPt9 structure.

Summary:
Density (kg/m³): 16497

abc: 9.3229 9.3229 9.3229
angles: 33.58 33.58 33.58
Positions (direct):
Ho 0.1352 0.1352 0.1352
Ho 0.8648 0.8648 0.8648
Ag 0.0000 0.0000 0.0000
Pt 0.0808 0.5878 0.5878
Pt 0.3327 0.3327 0.3327
Pt 0.4122 0.4122 0.9192
Pt 0.4122 0.9192 0.4122
Pt 0.5000 0.5000 0.5000
Pt 0.5878 0.0808 0.5878
Pt 0.5878 0.5878 0.0808
Pt 0.6673 0.6673 0.6673
Pt 0.9192 0.4122 0.4122


x.
VASP calculation (GGA-PBE) on a geometry-optimized Ho2AgPt9 structure.

Summary:
Density (kg/m³): 17910

abc: 4.0826 4.0826 12.2020
angles: 90.00 90.00 90.00
Positions (direct):
Ho 0.0000 0.0000 0.1701
Ho 0.0000 0.0000 0.8299
Ag 0.0000 0.0000 0.5000
Pt 0.0000 0.5000 0.0000
Pt 0.0000 0.5000 0.3384
Pt 0.0000 0.5000 0.6616
Pt 0.5000 0.0000 0.0000
Pt 0.5000 0.0000 0.3384
Pt 0.5000 0.0000 0.6616
Pt 0.5000 0.5000 0.1690
Pt 0.5000 0.5000 0.5000
Pt 0.5000 0.5000 0.8310


Most stable: x